Here is crystalline CuSe2Cl at its relaxed geometry from Alexandria. Energies are from PBE.

a b c (Å): 4.7404 4.7404 4.7404
angles (deg): 60.00 60.00 60.00
Atoms (fractional coordinates):
1 Cu 0.0000 0.0000 0.0000
2 Se 0.2500 0.2500 0.2500
3 Se 0.5000 0.5000 0.5000
4 Cl 0.7500 0.7500 0.7500

Results
For the raw formation energy, the calculation gives 2.05 eV/f.u. The space group is No. 216. The calculation puts the density of states at the Fermi level at 2.51 states/eV per cell.

Here is crystalline Sm4Rh at its relaxed geometry from Alexandria. Energies are from PBE.

a b c (Å): 7.4203 7.4203 7.4203
angles (deg): 108.39 108.39 111.66
Atoms (fractional coordinates):
1 Sm 0.0330 0.8285 0.1934
2 Sm 0.1149 0.4215 0.7045
3 Sm 0.1604 0.9670 0.7955
4 Sm 0.1715 0.3649 0.2045
5 Sm 0.5785 0.2830 0.6934
6 Sm 0.5896 0.8851 0.3066
7 Sm 0.6351 0.8396 0.8066
8 Sm 0.7170 0.4104 0.2955
9 Rh 0.2500 0.7500 0.5000
10 Rh 0.5000 0.5000 0.0000

Results
The space group is No. 122. For the energy relative to the elements, the calculation gives -0.31 eV per atom. The calculation puts the density of states at the Fermi level at 11.98 states/eV per cell.

Here is crystalline LaAlTe2I at its relaxed geometry from Alexandria. Energies are from PBE.

a b c (Å): 6.1620 6.1620 6.3005
angles (deg): 90.00 90.00 90.00
Atoms (fractional coordinates):
1 La 0.0000 0.0000 0.0000
2 Al 0.5000 0.5000 0.5000
3 Te 0.0000 0.5000 0.0000
4 Te 0.5000 0.0000 0.0000
5 I 0.0000 0.0000 0.5000

Results
For the raw formation energy, the calculation gives -1.68 eV/f.u. The space group is No. 123. The calculation puts the density of states at the Fermi level at 7.21 states/eV per cell.

Here is crystalline TmHfReNi at its relaxed geometry from Alexandria. Energies are from PBE.

a b c (Å): 4.6571 4.6571 4.6571
angles (deg): 60.00 60.00 60.00
Atoms (fractional coordinates):
1 Tm 0.0000 0.0000 0.0000
2 Hf 0.5000 0.5000 0.5000
3 Re 0.2500 0.2500 0.2500
4 Ni 0.7500 0.7500 0.7500

Results
The space group is No. 216. For the energy relative to the elements, the calculation gives -0.25 eV per atom. The calculation puts the density of states at the Fermi level at 1.62 states/eV per cell.

Here is crystalline Ca3AcDy2Te6 at its relaxed geometry from Alexandria. Energies are from PBE.

a b c (Å): 7.7427 7.7427 7.8580
angles (deg): 99.52 99.52 119.96
Atoms (fractional coordinates):
1 Ca 0.0000 0.0000 0.0000
2 Ca 0.3397 0.6603 0.0000
3 Ca 0.6603 0.3397 0.0000
4 Ac 0.5000 0.5000 0.5000
5 Dy 0.1681 0.8319 0.5000
6 Dy 0.8319 0.1681 0.5000
7 Te 0.0656 0.4152 0.2465
8 Te 0.2333 0.2333 0.7492
9 Te 0.4152 0.0656 0.2465
10 Te 0.5848 0.9344 0.7535
11 Te 0.7667 0.7667 0.2508
12 Te 0.9344 0.5848 0.7535

Results
For the raw formation energy, the calculation gives -17.64 eV/f.u. The space group is No. 12. The calculation puts the density of states at the Fermi level at 5.02 states/eV per cell.

Here is crystalline Si2NiP at its relaxed geometry from Alexandria. Energies are from PBE.

a b c (Å): 2.6116 2.9950 6.6204
angles (deg): 90.00 90.00 90.00
Atoms (fractional coordinates):
1 Si 0.0000 0.0000 0.2246
2 Si 0.0000 0.0000 0.7754
3 Ni 0.5000 0.5000 0.0000
4 P 0.5000 0.5000 0.5000

Results
For the raw formation energy, the calculation gives 0.58 eV/f.u. The space group is No. 47. The calculation puts the density of states at the Fermi level at 1.20 states/eV per cell.

Here is crystalline Tb12SmDy7 at its relaxed geometry from Alexandria. Energies are from PBE.

a b c (Å): 9.7790 9.7790 9.7790
angles (deg): 109.47 109.47 109.47
Atoms (fractional coordinates):
1 Tb 0.0009 0.2527 0.7482
2 Tb 0.2518 0.5045 0.2527
3 Tb 0.2518 0.9991 0.7473
4 Tb 0.2527 0.2518 0.5045
5 Tb 0.2527 0.7482 0.0009
6 Tb 0.4955 0.7473 0.7482
7 Tb 0.5045 0.2527 0.2518
8 Tb 0.7473 0.2518 0.9991
9 Tb 0.7473 0.7482 0.4955
10 Tb 0.7482 0.0009 0.2527
11 Tb 0.7482 0.4955 0.7473
12 Tb 0.9991 0.7473 0.2518
13 Sm 0.0000 0.0000 0.0000
14 Dy 0.0000 0.0000 0.5000
15 Dy 0.0000 0.5000 0.0000
16 Dy 0.0000 0.5000 0.5000
17 Dy 0.5000 0.0000 0.0000
18 Dy 0.5000 0.0000 0.5000
19 Dy 0.5000 0.5000 0.0000
20 Dy 0.5000 0.5000 0.5000

Results
The space group is No. 204. For the energy relative to the elements, the calculation gives 0.69 eV per atom. The calculation puts the density of states at the Fermi level at 22.90 states/eV per cell.

Here is crystalline Ac4Se3O2F2 at its relaxed geometry from Alexandria. Energies are from PBE.

a b c (Å): 4.3356 4.3356 15.8274
angles (deg): 90.00 90.00 120.00
Atoms (fractional coordinates):
1 Ac 0.3333 0.6667 0.3655
2 Ac 0.3333 0.6667 0.9015
3 Ac 0.6667 0.3333 0.0985
4 Ac 0.6667 0.3333 0.6345
5 Se 0.0000 0.0000 0.2309
6 Se 0.0000 0.0000 0.5000
7 Se 0.0000 0.0000 0.7691
8 O 0.3333 0.6667 0.0571
9 O 0.6667 0.3333 0.9429
10 F 0.3333 0.6667 0.6347
11 F 0.6667 0.3333 0.3653

Results
For the raw formation energy, the calculation gives -33.59 eV/f.u. The space group is No. 164. The calculation puts the density of states at the Fermi level at 0.00 states/eV per cell.